Er7Tl4Pb | PBE | relaxed

Output
Formation energy = -72 meV/atom
Crystal system = monoclinic
Density of states at the Fermi level = 0.86 states/eV/atom

Cell lengths 14.333, 5.734, 11.113 Å; angles 90.00, 127.23, 90.00 degrees
Space group C2/m (No. 12)
One atom of each set of equivalent atoms:
1 Er 0.000 0.000 0.000
2 Er 0.071 0.500 0.322
3 Er 0.156 0.000 0.584
4 Er 0.214 0.500 0.873
5 Tl 0.069 0.000 0.774
6 Tl 0.213 0.000 0.341
7 Pb 0.000 0.500 0.000